No. 1
The following is a DFT calculation (PBE) of crystalline La2Zn2Pd5Pb at its relaxed geometry.

As for the energy relative to the elements: -0.634 eV/atom.

a = 10.0900 Å, b = 10.0900 Å, c = 3.8981 Å
α = 90.00°, β = 90.00°, γ = 90.00°
Space group P4/mbm (No. 127)
Asymmetric unit:
La1 0.1806 0.3194 0.0000 x4
Zn1 0.1146 0.6146 0.0000 x4
Pd1 0.0000 0.5000 0.5000 x2
Pd2 0.0677 0.7826 0.5000 x8
Pb1 0.0000 0.0000 0.0000 x2


No. 2
The following is a DFT calculation (PBE) of crystalline Y3TmMg at its relaxed geometry.

As for the energy relative to the elements: 0.058 eV/atom.

a = 3.4871 Å, b = 6.9355 Å, c = 12.8494 Å
α = 90.00°, β = 97.75°, γ = 90.00°
Space group P2_1/m (No. 11)
Asymmetric unit:
Y1 0.0979 0.0086 0.1979 x4
Y2 0.2942 0.7500 0.5896 x2
Tm1 0.4988 0.2500 0.9972 x2
Mg1 0.3175 0.2500 0.6299 x2


No. 3
The following is a DFT calculation (PBE) of crystalline Sr3P5Se12 at its relaxed geometry.

The uncorrected formation energy is -0.516 eV/atom.

a = 16.2145 Å, b = 16.2145 Å, c = 16.2145 Å
α = 90.00°, β = 90.00°, γ = 90.00°
Space group Ia-3d (No. 230)
Asymmetric unit:
Sr1 0.0000 0.2500 0.1250 x24
P1 0.0000 0.0000 0.0000 x16
P2 0.0000 0.2500 0.3750 x24
Se1 0.0327 0.0498 0.6484 x96


No. 4
The following is a DFT calculation (PBE) of crystalline Pu2SbP at its relaxed geometry.

The uncorrected formation energy is -0.704 eV/atom.

a = 3.8157 Å, b = 3.8157 Å, c = 6.3046 Å
α = 90.00°, β = 90.00°, γ = 90.00°
Space group P4/mmm (No. 123)
Asymmetric unit:
Pu1 0.0000 0.0000 0.2296 x2
Sb1 0.5000 0.5000 0.5000 x1
P1 0.5000 0.5000 0.0000 x1


No. 5
The following is a DFT calculation (PBE) of crystalline TlInIr at its relaxed geometry.

As for the energy relative to the elements: 0.330 eV/atom.

a = 3.2376 Å, b = 3.2376 Å, c = 7.0394 Å
α = 90.00°, β = 90.00°, γ = 120.00°
Space group P3m1 (No. 156)
Asymmetric unit:
Tl1 0.0000 0.0000 0.0000 x1
In1 0.6667 0.3333 0.3975 x1
Ir1 0.3333 0.6667 0.6848 x1


No. 6
The following is a DFT calculation (PBE) of crystalline K2TeRh at its relaxed geometry.

The uncorrected formation energy is -0.327 eV/atom.

a = 7.8376 Å, b = 4.5256 Å, c = 9.5760 Å
α = 90.00°, β = 105.60°, γ = 90.00°
Space group Cm (No. 8)
Asymmetric unit:
K1 0.0000 0.0000 0.0000 x2
K2 0.1660 0.0000 0.5053 x2
Te1 0.2496 0.5000 0.2527 x2
Rh1 0.4163 0.0000 0.2528 x2


No. 7
The following is a DFT calculation (PBE) of crystalline Tm2NbGe2Ru5 at its relaxed geometry.

As for the energy relative to the elements: -0.485 eV/atom.

a = 10.1015 Å, b = 10.1015 Å, c = 3.3051 Å
α = 90.00°, β = 90.00°, γ = 90.00°
Space group P4/mbm (No. 127)
Asymmetric unit:
Tm1 0.1718 0.3282 0.0000 x4
Nb1 0.0000 0.0000 0.0000 x2
Ge1 0.1280 0.6280 0.0000 x4
Ru1 0.0000 0.5000 0.5000 x2
Ru2 0.0650 0.7970 0.5000 x8


No. 8
The following is a DFT calculation (PBE) of crystalline NaAc2Ir3O12 at its relaxed geometry.

The uncorrected formation energy is -1.477 eV/atom.

a = 7.2239 Å, b = 7.2239 Å, c = 16.1431 Å
α = 90.00°, β = 90.00°, γ = 120.00°
Space group R-3m (No. 166, hexagonal axes)
Asymmetric unit:
Na1 0.0000 0.0000 0.0000 x3
Ac1 0.0000 0.0000 0.3881 x6
Ir1 0.0000 0.5000 0.5000 x9
O1 0.0436 0.5218 0.8136 x18
O2 0.0621 0.5311 0.3859 x18


No. 9
The following is a DFT calculation (PBE) of crystalline K6Hg2HAu at its relaxed geometry.

As for the final energy: -1.519 eV per atom.

a = 7.4304 Å, b = 7.4312 Å, c = 7.4380 Å
α = 76.49°, β = 76.40°, γ = 76.43°
Space group P-1 (No. 2)
Asymmetric unit:
K1 0.1262 0.3463 0.2974 x2
K2 0.2013 0.8745 0.1530 x2
K3 0.3478 0.7970 0.6254 x2
Hg1 0.3108 0.3116 0.8120 x2
H1 0.0000 0.0000 0.5000 x1
Au1 0.5000 0.5000 0.0000 x1


Number 1: total magnetic moment 0.00 μB/f.u.. Number 2: total magnetic moment 0.00 μB/f.u.. Number 3: total magnetic moment 0.00 μB/f.u.. Number 4: total magnetic moment 11.15 μB/f.u.. Number 5: total magnetic moment 0.00 μB/f.u.. Number 6: total magnetic moment 0.00 μB/f.u.. Number 7: total magnetic moment 0.00 μB/f.u.. Number 8: total magnetic moment 4.04 μB/f.u.. Number 9: total magnetic moment 0.00 μB/f.u..